(1)
Density functional theory data (PBE) for a relaxed structure of YLuInTe3.

Structure (CIF):
```
data_YLuInTe3
_symmetry_space_group_name_H-M 'C m c m'
_symmetry_Int_Tables_number 63
_symmetry_space_group_name_Hall '-C 2c 2'
_cell_length_a 4.341
_cell_length_b 15.082
_cell_length_c 11.963
_cell_angle_alpha 90.00
_cell_angle_beta 90.00
_cell_angle_gamma 90.00
loop_
_atom_site_label
_atom_site_fract_x
_atom_site_fract_y
_atom_site_fract_z
_atom_site_occupancy
Y1 0.000 0.000 0.000 1
Lu1 0.000 0.430 0.250 1
In1 0.000 0.246 0.750 1
Te1 0.000 0.064 0.250 1
Te2 0.000 0.354 0.028 1
```

Calculated values
As for the energy: -114.7 eV/cell. The value obtained for the mass density is 6457 kg/m3.

---

(2)
Density functional theory data (PBE) for a relaxed structure of YLuInTe3.

Structure (CIF):
```
data_YLuInTe3
_symmetry_space_group_name_H-M 'C m c m'
_symmetry_Int_Tables_number 63
_symmetry_space_group_name_Hall '-C 2c 2'
_cell_length_a 4.247
_cell_length_b 15.448
_cell_length_c 12.034
_cell_angle_alpha 90.00
_cell_angle_beta 90.00
_cell_angle_gamma 90.00
loop_
_atom_site_label
_atom_site_fract_x
_atom_site_fract_y
_atom_site_fract_z
_atom_site_occupancy
Y1 0.000 0.099 0.250 1
Lu1 0.000 0.500 0.000 1
In1 0.000 0.231 0.750 1
Te1 0.000 0.141 0.010 1
Te2 0.000 0.458 0.250 1
```

Calculated values
As for the energy: -114.6 eV/cell. The value obtained for the mass density is 6406 kg/m3.

---

(3)
Density functional theory data (PBE) for a relaxed structure of YLuInTe3.

Structure (CIF):
```
data_YLuInTe3
_symmetry_space_group_name_H-M 'C 1 2/m 1'
_symmetry_Int_Tables_number 12
_cell_length_a 18.802
_cell_length_b 4.304
_cell_length_c 10.003
_cell_angle_alpha 90.00
_cell_angle_beta 103.59
_cell_angle_gamma 90.00
loop_
_symmetry_equiv_pos_as_xyz
'x,y,z'
'-x,-y,-z'
'-x,y,-z'
'x,-y,z'
'x+1/2,y+1/2,z'
'-x+1/2,-y+1/2,-z'
'-x+1/2,y+1/2,-z'
'x+1/2,-y+1/2,z'
loop_
_atom_site_label
_atom_site_fract_x
_atom_site_fract_y
_atom_site_fract_z
_atom_site_occupancy
Y1 0.171 0.000 0.075 1
Lu1 0.003 0.500 0.210 1
In1 0.142 0.000 0.551 1
Te1 0.000 0.000 0.000 1
Te2 0.000 0.500 0.500 1
Te3 0.163 0.500 0.847 1
Te4 0.167 0.500 0.293 1
```

Calculated values
As for the energy: -115.7 eV/cell. The value obtained for the mass density is 6428 kg/m3.

---

(4)
Density functional theory data (PBE) for a relaxed structure of LuThIn.

Structure (CIF):
```
data_LuThIn
_symmetry_space_group_name_H-M 'F -4 3 m'
_symmetry_Int_Tables_number 216
_symmetry_space_group_name_Hall 'F -4 2 3'
_cell_length_a 7.330
_cell_length_b 7.330
_cell_length_c 7.330
_cell_angle_alpha 90.00
_cell_angle_beta 90.00
_cell_angle_gamma 90.00
loop_
_atom_site_label
_atom_site_fract_x
_atom_site_fract_y
_atom_site_fract_z
_atom_site_occupancy
Lu1 0.000 0.000 0.000 1
Th1 0.000 0.000 0.500 1
In1 0.250 0.250 0.250 1
```

Calculated values
As for the energy: -57.5 eV/cell. The value obtained for the mass density is 8802 kg/m3.

---

(5)
Density functional theory data (PBE) for a relaxed structure of LuTlIn.

Structure (CIF):
```
data_LuTlIn
_symmetry_space_group_name_H-M 'F -4 3 m'
_symmetry_Int_Tables_number 216
_symmetry_space_group_name_Hall 'F -4 2 3'
_cell_length_a 7.027
_cell_length_b 7.027
_cell_length_c 7.027
_cell_angle_alpha 90.00
_cell_angle_beta 90.00
_cell_angle_gamma 90.00
loop_
_atom_site_label
_atom_site_fract_x
_atom_site_fract_y
_atom_site_fract_z
_atom_site_occupancy
Lu1 0.000 0.000 0.000 1
Tl1 0.250 0.250 0.750 1
In1 0.000 0.000 0.500 1
```

Calculated values
As for the energy: -38.4 eV/cell. The value obtained for the mass density is 9459 kg/m3.

---

(6)
Density functional theory data (PBE) for a relaxed structure of YLuTlIn.

Structure (CIF):
```
data_YLuTlIn
_symmetry_space_group_name_H-M 'F -4 3 m'
_symmetry_Int_Tables_number 216
_symmetry_space_group_name_Hall 'F -4 2 3'
_cell_length_a 7.493
_cell_length_b 7.493
_cell_length_c 7.493
_cell_angle_alpha 90.00
_cell_angle_beta 90.00
_cell_angle_gamma 90.00
loop_
_atom_site_label
_atom_site_fract_x
_atom_site_fract_y
_atom_site_fract_z
_atom_site_occupancy
Y1 0.000 0.000 0.000 1
Lu1 0.000 0.000 0.500 1
Tl1 0.250 0.250 0.250 1
In1 0.250 0.250 0.750 1
```

Calculated values
As for the energy: -70.3 eV/cell. The value obtained for the mass density is 9206 kg/m3.

---

(7)
Density functional theory data (PBE) for a relaxed structure of YLuTlIn.

Structure (CIF):
```
data_YLuTlIn
_symmetry_space_group_name_H-M 'F -4 3 m'
_symmetry_Int_Tables_number 216
_symmetry_space_group_name_Hall 'F -4 2 3'
_cell_length_a 7.617
_cell_length_b 7.617
_cell_length_c 7.617
_cell_angle_alpha 90.00
_cell_angle_beta 90.00
_cell_angle_gamma 90.00
loop_
_atom_site_label
_atom_site_fract_x
_atom_site_fract_y
_atom_site_fract_z
_atom_site_occupancy
Y1 0.000 0.000 0.000 1
Lu1 0.250 0.250 0.250 1
Tl1 0.000 0.000 0.500 1
In1 0.250 0.250 0.750 1
```

Calculated values
As for the energy: -63.0 eV/cell. The value obtained for the mass density is 8764 kg/m3.

---

(8)
Density functional theory data (PBE) for a relaxed structure of Tm2LuZnIn2.

Structure (CIF):
```
data_Tm2LuZnIn2
_symmetry_space_group_name_H-M 'P -3 m 1'
_symmetry_Int_Tables_number 164
_symmetry_space_group_name_Hall '-P 3 2"'
_cell_length_a 5.1551
_cell_length_b 5.1551
_cell_length_c 6.3282
_cell_angle_alpha 90.00
_cell_angle_beta 90.00
_cell_angle_gamma 120.00
loop_
_atom_site_label
_atom_site_fract_x
_atom_site_fract_y
_atom_site_fract_z
_atom_site_occupancy
Tm1 0.3333 0.6667 0.1594 1
Lu1 0.0000 0.0000 0.5000 1
Zn1 0.0000 0.0000 0.0000 1
In1 0.3333 0.6667 0.6691 1
```

Calculated values
As for the energy: -22.5 eV/cell. The value obtained for the mass density is 9211 kg/m3.

---

(9)
Density functional theory data (PBE) for a relaxed structure of LuUIn.

Structure (CIF):
```
data_LuUIn
_symmetry_space_group_name_H-M 'F -4 3 m'
_symmetry_Int_Tables_number 216
_symmetry_space_group_name_Hall 'F -4 2 3'
_cell_length_a 7.161
_cell_length_b 7.161
_cell_length_c 7.161
_cell_angle_alpha 90.00
_cell_angle_beta 90.00
_cell_angle_gamma 90.00
loop_
_atom_site_label
_atom_site_fract_x
_atom_site_fract_y
_atom_site_fract_z
_atom_site_occupancy
Lu1 0.000 0.000 0.000 1
U1 0.000 0.000 0.500 1
In1 0.250 0.250 0.250 1
```

Calculated values
As for the energy: -66.3 eV/cell. The value obtained for the mass density is 9546 kg/m3.

---

(10)
Density functional theory data (PBE) for a relaxed structure of LuInW.

Structure (CIF):
```
data_LuInW
_symmetry_space_group_name_H-M 'F -4 3 m'
_symmetry_Int_Tables_number 216
_symmetry_space_group_name_Hall 'F -4 2 3'
_cell_length_a 6.809
_cell_length_b 6.809
_cell_length_c 6.809
_cell_angle_alpha 90.00
_cell_angle_beta 90.00
_cell_angle_gamma 90.00
loop_
_atom_site_label
_atom_site_fract_x
_atom_site_fract_y
_atom_site_fract_z
_atom_site_occupancy
Lu1 0.000 0.000 0.000 1
In1 0.250 0.250 0.750 1
W1 0.250 0.250 0.250 1
```

Calculated values
As for the energy: -65.4 eV/cell. The value obtained for the mass density is 9964 kg/m3.

---

(11)
Density functional theory data (PBE) for a relaxed structure of LuInW2.

Structure (CIF):
```
data_LuInW2
_symmetry_space_group_name_H-M 'F -4 3 m'
_symmetry_Int_Tables_number 216
_symmetry_space_group_name_Hall 'F -4 2 3'
_cell_length_a 6.716
_cell_length_b 6.716
_cell_length_c 6.716
_cell_angle_alpha 90.00
_cell_angle_beta 90.00
_cell_angle_gamma 90.00
loop_
_atom_site_label
_atom_site_fract_x
_atom_site_fract_y
_atom_site_fract_z
_atom_site_occupancy
Lu1 0.000 0.000 0.000 1
In1 0.250 0.250 0.750 1
W1 0.000 0.000 0.500 1
W2 0.250 0.250 0.250 1
```

Calculated values
As for the energy: -127.7 eV/cell. The value obtained for the mass density is 14416 kg/m3.

---

(12)
Density functional theory data (PBE) for a relaxed structure of LuInW.

Structure (CIF):
```
data_LuInW
_symmetry_space_group_name_H-M 'F -4 3 m'
_symmetry_Int_Tables_number 216
_symmetry_space_group_name_Hall 'F -4 2 3'
_cell_length_a 6.751
_cell_length_b 6.751
_cell_length_c 6.751
_cell_angle_alpha 90.00
_cell_angle_beta 90.00
_cell_angle_gamma 90.00
loop_
_atom_site_label
_atom_site_fract_x
_atom_site_fract_y
_atom_site_fract_z
_atom_site_occupancy
Lu1 0.000 0.000 0.000 1
In1 0.000 0.000 0.500 1
W1 0.250 0.250 0.750 1
```

Calculated values
As for the energy: -70.5 eV/cell. The value obtained for the mass density is 10225 kg/m3.

---

> Which of these has the highest energy?

Tm2LuZnIn2

---

> Among the records above, which one has the highest energy?

Tm2LuZnIn2

---

> What is the mass density in the eleventh record?

14416 kg/m3